# 1
Below is a relaxed structure of LiZn2Re, with properties calculated at the PBE level.

Summary:
N(E_F)   2.3 states/eV/cell
ρ   9.327 g cm⁻³
Crystal system   monoclinic
DFT formation energy   0.19 eV per atom
Energy above the lowest structure with this stoichiometry   200 meV/atom
Symmetry   No. 12

Unit cell a=4.647 b=4.647 c=5.083 alpha=84.04 beta=84.04 gamma=31.91
Atoms (fractional coordinates):
Re 0.750 0.750 0.750
Zn 0.002 0.002 0.993
Zn 0.498 0.498 0.507
Li 0.250 0.250 0.250

---

# 2
Below is a relaxed structure of NaBBr4, with properties calculated at the PBE level.

Summary:
N(E_F)   0.0 states/eV/cell
ρ   2.868 g cm⁻³
Formation energy from raw total energies   -0.825 eV per atom
Crystal system   tetragonal
Energy above the lowest structure with this stoichiometry   0 meV/atom
Symmetry   No. 82

Unit cell a=6.731 b=6.731 c=6.562 alpha=120.85 beta=120.85 gamma=90.00
Atoms (fractional coordinates):
Br 0.519 0.574 0.745
Br 0.829 0.481 0.255
Br 0.226 0.171 0.745
Br 0.426 0.774 0.255
Na 0.750 0.250 0.500
B 0.500 0.500 0.000

---

# 3
Below is a relaxed structure of ZrAgHg2Os, with properties calculated at the PBE level.

Summary:
N(E_F)   3.4 states/eV/cell
ρ   10.069 g cm⁻³
Crystal system   tetragonal
DFT formation energy   1.55 eV per atom
Symmetry   No. 123

Unit cell a=4.979 b=5.259 c=4.979 alpha=90.00 beta=90.00 gamma=90.00
Each line ends with the local moment (μB).
Atoms (fractional coordinates):
Hg 0.500 0.000 0.000  0.01
Hg 0.000 0.000 0.500  0.01
Zr 0.000 0.500 0.000  -0.51
Os 0.500 0.500 0.500  2.27
Ag 0.000 0.000 0.000  -0.03

---

# 4
Below is a relaxed structure of InAg3Cl8, with properties calculated at the PBE level.

Summary:
N(E_F)   9.6 states/eV/cell
ρ   3.588 g cm⁻³
Formation energy from raw total energies   -0.599 eV per atom
Crystal system   monoclinic
Symmetry   No. 12

Unit cell a=7.421 b=8.167 c=7.294 alpha=118.13 beta=90.00 gamma=117.02
Each line ends with the local moment (μB).
Atoms (fractional coordinates):
Cl 0.241 0.991 0.756  0.06
Cl 0.785 0.569 0.788  0.15
Cl 0.750 0.991 0.756  0.06
Cl 0.215 0.431 0.212  0.15
Cl 0.759 0.009 0.244  0.06
Cl 0.744 0.488 0.219  0.17
Cl 0.256 0.512 0.781  0.17
Cl 0.250 0.009 0.244  0.06
Ag 0.500 0.000 0.000  0.16
Ag 0.500 0.500 0.000  0.25
Ag 0.000 0.500 0.000  0.25
In 0.000 0.000 0.000  0.00

---

- Number 1 is which compound?
  LiZn2Re